Entry 1:
The following is a PBE-GGA calculation of a relaxed structure of LaEuMgTl, from Alexandria.

Calculated values
The calculation puts the formation energy at -0.276 eV/atom. The calculated total energy comes out at -5.07 eV/atom. The value obtained for the total magnetization is 7.33 μB per formula unit. As for the density: 6.87 g/cm3. The value obtained for the density of states at the Fermi level is 37.5 states/eV per cell.

Lattice parameters (Å, degrees): 7.948 7.948 7.948 90.00 90.00 90.00
Space group F-43m (No. 216)
One atom of each set of equivalent atoms:
La: 0.000 0.000 0.000 [4 per cell]
Eu: 0.000 0.000 0.500 [4 per cell]
Mg: 0.250 0.250 0.750 [4 per cell]
Tl: 0.250 0.250 0.250 [4 per cell]

Entry 2:
The following is a PBE-GGA calculation of a relaxed structure of Cs2I3N2, from Alexandria.

Calculated values
The calculated total energy comes out at -2.72 eV/atom. The energy relative to the elements, uncorrected comes out at 0.563 eV per atom. The value obtained for the total magnetization is 5.84 μB per formula unit. As for the density: 3.72 g/cm3. The value obtained for the density of states at the Fermi level is 3.2 states/eV per cell.

Lattice parameters (Å, degrees): 5.718 5.853 10.034 80.45 81.31 66.07
Space group P-1 (No. 2)
One atom of each set of equivalent atoms:
Cs: 0.208 0.185 0.283 [2 per cell]
I: 0.249 0.749 0.001 [2 per cell]
I: 0.500 0.500 0.500 [1 per cell]
N: 0.120 0.201 0.625 [2 per cell]

Entry 3:
The following is a PBE-GGA calculation of a relaxed structure of VAsPbBr2, from Alexandria.

Calculated values
The calculated total energy comes out at -4.30 eV/atom. The energy relative to the elements, uncorrected comes out at -0.140 eV per atom. The value obtained for the total magnetization is 2.01 μB per formula unit. As for the energy above the lowest structure with this stoichiometry: 0.000 eV per atom. As for the density: 6.21 g/cm3. The value obtained for the density of states at the Fermi level is 3.0 states/eV per cell.

Lattice parameters (Å, degrees): 5.102 5.102 5.064 90.00 90.00 90.00
Space group P4/mmm (No. 123)
One atom of each set of equivalent atoms:
V: 0.000 0.000 0.000 [1 per cell]
As: 0.000 0.000 0.500 [1 per cell]
Pb: 0.500 0.500 0.500 [1 per cell]
Br: 0.000 0.500 0.000 [2 per cell]

Entry 4:
The following is a PBE-GGA calculation of a relaxed structure of InCo2Ru, from Alexandria.

Calculated values
The calculation puts the formation energy at 0.282 eV/atom. The calculated total energy comes out at -6.27 eV/atom. The value obtained for the total magnetization is 3.66 μB per formula unit. As for the density: 9.58 g/cm3. The value obtained for the density of states at the Fermi level is 11.8 states/eV per cell.

Lattice parameters (Å, degrees): 8.767 2.866 4.715 90.00 102.46 90.00
Space group C2/m (No. 12)
One atom of each set of equivalent atoms:
In: 0.000 0.000 0.000 [2 per cell]
Co: 0.241 0.000 0.708 [4 per cell]
Ru: 0.000 0.500 0.500 [2 per cell]

Entry 5:
The following is a PBE-GGA calculation of a relaxed structure of AcTmAlCd, from Alexandria.

Calculated values
The calculation puts the formation energy at -0.240 eV/atom. The calculated total energy comes out at -3.55 eV/atom. The value obtained for the total magnetization is 0.00 μB per formula unit. As for the density: 7.80 g/cm3. The value obtained for the density of states at the Fermi level is 15.1 states/eV per cell.

Lattice parameters (Å, degrees): 7.698 7.698 7.698 90.00 90.00 90.00
Space group F-43m (No. 216)
One atom of each set of equivalent atoms:
Ac: 0.000 0.000 0.000 [4 per cell]
Tm: 0.000 0.000 0.500 [4 per cell]
Al: 0.250 0.250 0.750 [4 per cell]
Cd: 0.250 0.250 0.250 [4 per cell]

Entry 6:
The following is a PBE-GGA calculation of a relaxed structure of V2RuBr, from Alexandria.

Calculated values
The calculated total energy comes out at -6.60 eV/atom. The energy relative to the elements, uncorrected comes out at 0.693 eV per atom. The value obtained for the total magnetization is 2.92 μB per formula unit. As for the energy above the lowest structure with this stoichiometry: 0.092 eV per atom. As for the density: 6.44 g/cm3. The value obtained for the density of states at the Fermi level is 18.4 states/eV per cell.

Lattice parameters (Å, degrees): 6.562 6.562 6.774 90.00 90.00 90.00
Space group I-42d (No. 122)
One atom of each set of equivalent atoms:
V: 0.231 0.250 0.125 [8 per cell]
Ru: 0.000 0.000 0.000 [4 per cell]
Br: 0.000 0.000 0.500 [4 per cell]

Entry 7:
The following is a PBE-GGA calculation of a relaxed structure of PrTh2Os, from Alexandria.

Calculated values
The calculation puts the formation energy at 0.120 eV/atom. The calculated total energy comes out at -7.59 eV/atom. The value obtained for the total magnetization is 0.01 μB per formula unit. As for the energy above the lowest structure with this stoichiometry: 0.214 eV per atom. As for the density: 9.40 g/cm3. The value obtained for the density of states at the Fermi level is 18.6 states/eV per cell.

Lattice parameters (Å, degrees): 3.9600 3.9600 31.0318 90.00 90.00 120.00
Space group R-3m (No. 166, hexagonal axes)
One atom of each set of equivalent atoms:
Pr: 0.0000 0.0000 0.0000 [3 per cell]
Th: 0.0000 0.0000 0.1145 [6 per cell]
Os: 0.0000 0.0000 0.5000 [3 per cell]

Entry 8:
The following is a PBE-GGA calculation of a relaxed structure of Y3Tm4Ru4, from Alexandria.

Calculated values
The calculation puts the formation energy at -0.350 eV/atom. The calculated total energy comes out at -7.11 eV/atom. The value obtained for the total magnetization is 0.00 μB per formula unit. As for the density: 8.91 g/cm3. The value obtained for the density of states at the Fermi level is 9.7 states/eV per cell.

Lattice parameters (Å, degrees): 3.535 8.853 16.039 90.00 90.00 90.00
Space group Immm (No. 71)
One atom of each set of equivalent atoms:
Y: 0.000 0.000 0.000 [2 per cell]
Y: 0.000 0.500 0.099 [4 per cell]
Tm: 0.000 0.309 0.335 [8 per cell]
Ru: 0.000 0.000 0.254 [4 per cell]
Ru: 0.000 0.224 0.500 [4 per cell]

Entry 9:
The following is a PBE-GGA calculation of a relaxed structure of MnCuS2, from Alexandria.

Calculated values
The calculated total energy comes out at -5.76 eV/atom. The energy relative to the elements, uncorrected comes out at -0.382 eV per atom. The value obtained for the total magnetization is 1.92 μB per formula unit. As for the density: 3.86 g/cm3. The value obtained for the density of states at the Fermi level is 4.5 states/eV per cell.

Lattice parameters (Å, degrees): 5.457 11.003 5.236 90.00 90.00 90.00
Space group Ibam (No. 72)
One atom of each set of equivalent atoms:
Mn: 0.000 0.000 0.250 [4 per cell]
Cu: 0.000 0.500 0.250 [4 per cell]
S: 0.227 0.116 0.000 [8 per cell]

Entry 10:
The following is a PBE-GGA calculation of a relaxed structure of TiClO, from Alexandria.

Calculated values
The calculated total energy comes out at -7.04 eV/atom. The energy relative to the elements, uncorrected comes out at -2.141 eV per atom. The value obtained for the total magnetization is 0.02 μB per formula unit. As for the density: 2.91 g/cm3. The value obtained for the density of states at the Fermi level is 8.7 states/eV per cell.

Lattice parameters (Å, degrees): 8.323 3.963 6.873 90.00 90.00 90.00
Space group Pnma (No. 62)
One atom of each set of equivalent atoms:
Ti: 0.037 0.250 0.127 [4 per cell]
Cl: 0.171 0.750 0.619 [4 per cell]
O: 0.038 0.750 0.133 [4 per cell]

- calculated total energy of number 3 (VAsPbBr2)?
  -4.30 eV/atom